The following is a DFT calculation (PBE-GGA) of CaPrMgHg after structural relaxation.

Values from the calculation:
size of the total moment: 0.22 Bohr magnetons per cell
N(E_F): 3.865 states/eV/cell
polymorph energy (0 for the lowest one): 7 meV per atom
space-group type: P4mm
calculated formation energy: -302.3 meV per atom
crystal system: tetragonal

```
4
Lattice="3.900 0.000 0.000 0.000 3.900 0.000 0.000 0.000 7.680" Properties=species:S:1:pos:R:3 pbc="T T T"
Ca 0.000 0.000 2.816
Hg 1.950 1.950 4.664
Mg 1.950 1.950 0.813
Pr 0.000 0.000 6.515
```

=====

The following is a DFT calculation (PBE-GGA) of CaPrMgHg after structural relaxation.

Values from the calculation:
size of the total moment: 0.00 Bohr magnetons per cell
N(E_F): 3.167 states/eV/cell
polymorph energy (0 for the lowest one): 0 meV per atom
space-group type: F-43m
calculated formation energy: -308.8 meV per atom
crystal system: cubic

```
4
Lattice="-4.666 -0.556 2.789 -4.648 -1.118 -2.646 -2.313 -4.925 0.502" Properties=species:S:1:pos:R:3 pbc="T T T"
Pr -2.907 -1.650 0.161
Ca -8.720 -4.949 0.484
Mg 0.000 0.000 0.000
Hg -5.813 -3.300 0.323
```

=====

The following is a DFT calculation (PBE-GGA) of CaPr2MgHg4 after structural relaxation.

Values from the calculation:
size of the total moment: 0.00 Bohr magnetons per cell
N(E_F): 4.867 states/eV/cell
space-group type: R-3m
calculated formation energy: -496.9 meV per atom
crystal system: trigonal

```
8
Lattice="-0.451 -4.044 -3.393 4.205 -1.587 -2.804 3.387 -7.451 4.294" Properties=species:S:1:pos:R:3 pbc="T T T"
Hg 2.763 -4.433 -3.357
Hg 4.379 -8.650 1.455
Hg 2.588 -5.365 1.914
Hg 4.554 -7.718 -3.816
Mg 3.571 -6.541 -0.951
Pr 5.332 -9.749 -1.498
Pr 1.809 -3.333 -0.404
Ca 0.000 0.000 0.000
```

=====

The following is a DFT calculation (PBE-GGA) of CaPuMg2Hg4 after structural relaxation.

Values from the calculation:
size of the total moment: 5.84 Bohr magnetons per cell
N(E_F): 14.301 states/eV/cell
space-group type: R-3m
calculated formation energy: -314.0 meV per atom
crystal system: trigonal

```
8
Lattice="-0.610 2.314 -4.543 -4.293 2.641 -0.980 1.961 8.636 1.234" Properties=species:S:1:pos:R:3 pbc="T T T"
Hg -3.565 7.556 -4.378
Hg -2.820 4.177 -3.298
Hg 0.623 6.036 0.089
Hg -0.123 9.415 -0.992
Mg -0.731 3.408 -1.068
Mg -2.212 10.184 -3.221
Ca 0.000 0.000 0.000
Pu -1.471 6.796 -2.145
```

=====

Please write out number 2 again, unchanged.
The following is a DFT calculation (PBE-GGA) of CaPrMgHg after structural relaxation.

Values from the calculation:
size of the total moment: 0.00 Bohr magnetons per cell
N(E_F): 3.167 states/eV/cell
polymorph energy (0 for the lowest one): 0 meV per atom
space-group type: F-43m
calculated formation energy: -308.8 meV per atom
crystal system: cubic

```
4
Lattice="-4.666 -0.556 2.789 -4.648 -1.118 -2.646 -2.313 -4.925 0.502" Properties=species:S:1:pos:R:3 pbc="T T T"
Pr -2.907 -1.650 0.161
Ca -8.720 -4.949 0.484
Mg 0.000 0.000 0.000
Hg -5.813 -3.300 0.323
```